Record 1
VASP calculation (PBE) on a relaxed TaCr2SnHg crystal.

The structure in CIF format:
```
data_TaCr2SnHg
_chemical_formula_sum 'Ta1 Cr2 Sn1 Hg1'
_cell_length_a 4.760
_cell_length_b 4.760
_cell_length_c 5.410
_cell_angle_alpha 90.00
_cell_angle_beta 90.00
_cell_angle_gamma 90.00
_symmetry_space_group_name_H-M 'P 4/m m m'
_symmetry_Int_Tables_number 123
_symmetry_space_group_name_Hall '-P 4 2'
loop_
_atom_site_label
_atom_site_fract_x
_atom_site_fract_y
_atom_site_fract_z
Ta1 0.000 0.000 0.000
Cr1 0.000 0.500 0.000
Sn1 0.500 0.500 0.500
Hg1 0.000 0.000 0.500
```

Output
For the energy relative to the elements, the calculation gives 1.296 eV/atom. The magnetic moment comes out at 5.4 μB per formula unit. The calculation puts the total DFT energy (no corrections) at -5.7845 eV/atom.


Record 2
VASP calculation (PBE) on a relaxed TaCr2SnHg crystal.

The structure in CIF format:
```
data_TaCr2SnHg
_chemical_formula_sum 'Ta1 Cr2 Sn1 Hg1'
_cell_length_a 4.750
_cell_length_b 4.750
_cell_length_c 5.082
_cell_angle_alpha 90.00
_cell_angle_beta 90.00
_cell_angle_gamma 90.00
_symmetry_space_group_name_H-M 'P 4/m m m'
_symmetry_Int_Tables_number 123
_symmetry_space_group_name_Hall '-P 4 2'
loop_
_atom_site_label
_atom_site_fract_x
_atom_site_fract_y
_atom_site_fract_z
Ta1 0.000 0.000 0.000
Cr1 0.000 0.500 0.500
Sn1 0.500 0.500 0.000
Hg1 0.000 0.000 0.500
```

Output
For the energy relative to the elements, the calculation gives 2.069 eV/atom. The magnetic moment comes out at 0.1 μB per formula unit. The calculation puts the total DFT energy (no corrections) at -5.0116 eV/atom.


Record 3
VASP calculation (PBE) on a relaxed SrCrHg2 crystal.

The structure in CIF format:
```
data_SrCrHg2
_chemical_formula_sum 'Sr1 Cr1 Hg2'
_cell_length_a 3.853
_cell_length_b 5.164
_cell_length_c 5.636
_cell_angle_alpha 90.00
_cell_angle_beta 90.07
_cell_angle_gamma 90.00
_symmetry_space_group_name_H-M 'P 1 m 1'
_symmetry_Int_Tables_number 6
loop_
_symmetry_equiv_pos_as_xyz
'x,y,z'
'x,-y,z'
loop_
_atom_site_label
_atom_site_fract_x
_atom_site_fract_y
_atom_site_fract_z
Sr1 0.000 0.000 0.000
Cr1 0.502 0.500 0.295
Hg1 0.500 0.000 0.491
Hg2 0.500 0.500 0.794
```

Output
For the energy relative to the elements, the calculation gives 0.104 eV/atom. The magnetic moment comes out at 4.3 μB per formula unit. The calculation puts the total DFT energy (no corrections) at -2.8732 eV/atom.


Record 4
VASP calculation (PBE) on a relaxed SrCrHg2 crystal.

The structure in CIF format:
```
data_SrCrHg2
_chemical_formula_sum 'Sr3 Cr3 Hg6'
_cell_length_a 4.8282
_cell_length_b 4.8282
_cell_length_c 16.1241
_cell_angle_alpha 90.00
_cell_angle_beta 90.00
_cell_angle_gamma 120.00
_symmetry_space_group_name_H-M 'R -3 m'
_symmetry_Int_Tables_number 166
_symmetry_space_group_name_Hall '-R 3 2"'
loop_
_atom_site_label
_atom_site_fract_x
_atom_site_fract_y
_atom_site_fract_z
Sr1 0.0000 0.0000 0.0000
Cr1 0.0000 0.0000 0.5000
Hg1 0.0000 0.0000 0.2150
```

Output
For the energy relative to the elements, the calculation gives 0.001 eV/atom. The magnetic moment comes out at 4.2 μB per formula unit. The calculation puts the total DFT energy (no corrections) at -2.9766 eV/atom.


Record 5
VASP calculation (PBE) on a relaxed SrCrHg crystal.

The structure in CIF format:
```
data_SrCrHg
_chemical_formula_sum 'Sr4 Cr4 Hg4'
_cell_length_a 7.281
_cell_length_b 7.281
_cell_length_c 7.281
_cell_angle_alpha 90.00
_cell_angle_beta 90.00
_cell_angle_gamma 90.00
_symmetry_space_group_name_H-M 'F -4 3 m'
_symmetry_Int_Tables_number 216
_symmetry_space_group_name_Hall 'F -4 2 3'
loop_
_atom_site_label
_atom_site_fract_x
_atom_site_fract_y
_atom_site_fract_z
Sr1 0.000 0.000 0.000
Cr1 0.000 0.000 0.500
Hg1 0.250 0.250 0.250
```

Output
For the energy relative to the elements, the calculation gives 0.378 eV/atom. The magnetic moment comes out at 4.9 μB per formula unit. The calculation puts the total DFT energy (no corrections) at -3.4912 eV/atom.


Record 6
VASP calculation (PBE) on a relaxed SrCrHg crystal.

The structure in CIF format:
```
data_SrCrHg
_chemical_formula_sum 'Sr1 Cr1 Hg1'
_cell_length_a 4.9184
_cell_length_b 4.9184
_cell_length_c 4.1732
_cell_angle_alpha 90.00
_cell_angle_beta 90.00
_cell_angle_gamma 120.00
_symmetry_space_group_name_H-M 'P -6 m 2'
_symmetry_Int_Tables_number 187
_symmetry_space_group_name_Hall 'P -6 2'
loop_
_atom_site_label
_atom_site_fract_x
_atom_site_fract_y
_atom_site_fract_z
Sr1 0.0000 0.0000 0.0000
Cr1 0.6667 0.3333 0.5000
Hg1 0.3333 0.6667 0.5000
```

Output
For the energy relative to the elements, the calculation gives 0.191 eV/atom. The magnetic moment comes out at 4.7 μB per formula unit. The calculation puts the total DFT energy (no corrections) at -3.6775 eV/atom.


Record 7
VASP calculation (PBE) on a relaxed SrCrHg2 crystal.

The structure in CIF format:
```
data_SrCrHg2
_chemical_formula_sum 'Sr1 Cr1 Hg2'
_cell_length_a 3.654
_cell_length_b 3.681
_cell_length_c 7.445
_cell_angle_alpha 90.00
_cell_angle_beta 90.00
_cell_angle_gamma 90.00
_symmetry_space_group_name_H-M 'P m m m'
_symmetry_Int_Tables_number 47
loop_
_symmetry_equiv_pos_as_xyz
'x,y,z'
'-x,-y,-z'
'-x,-y,z'
'x,y,-z'
'x,-y,-z'
'-x,y,z'
'-x,y,-z'
'x,-y,z'
loop_
_atom_site_label
_atom_site_fract_x
_atom_site_fract_y
_atom_site_fract_z
Sr1 0.000 0.000 0.000
Cr1 0.000 0.000 0.500
Hg1 0.500 0.500 0.293
```

Output
For the energy relative to the elements, the calculation gives 0.030 eV/atom. The magnetic moment comes out at 4.3 μB per formula unit. The calculation puts the total DFT energy (no corrections) at -2.9476 eV/atom.


Record 8
VASP calculation (PBE) on a relaxed SrCr2Hg2 crystal.

The structure in CIF format:
```
data_SrCr2Hg2
_chemical_formula_sum 'Sr2 Cr4 Hg4'
_cell_length_a 8.377
_cell_length_b 8.377
_cell_length_c 3.120
_cell_angle_alpha 90.00
_cell_angle_beta 90.00
_cell_angle_gamma 90.00
_symmetry_space_group_name_H-M 'P 4/m b m'
_symmetry_Int_Tables_number 127
_symmetry_space_group_name_Hall '-P 4 2ab'
loop_
_atom_site_label
_atom_site_fract_x
_atom_site_fract_y
_atom_site_fract_z
Sr1 0.000 0.000 0.000
Cr1 0.080 0.420 0.500
Hg1 0.194 0.694 0.000
```

Output
For the energy relative to the elements, the calculation gives 0.602 eV/atom. The magnetic moment comes out at 1.8 μB per formula unit. The calculation puts the total DFT energy (no corrections) at -3.7040 eV/atom.


Record 9
VASP calculation (PBE) on a relaxed SrCrHg crystal.

The structure in CIF format:
```
data_SrCrHg
_chemical_formula_sum 'Sr2 Cr2 Hg2'
_cell_length_a 3.804
_cell_length_b 3.804
_cell_length_c 11.299
_cell_angle_alpha 90.00
_cell_angle_beta 90.00
_cell_angle_gamma 90.00
_symmetry_space_group_name_H-M 'I 4 m m'
_symmetry_Int_Tables_number 107
_symmetry_space_group_name_Hall 'I 4 -2'
loop_
_atom_site_label
_atom_site_fract_x
_atom_site_fract_y
_atom_site_fract_z
Sr1 0.000 0.000 0.000
Cr1 0.000 0.000 0.298
Hg1 0.000 0.000 0.698
```

Output
For the energy relative to the elements, the calculation gives 0.235 eV/atom. The magnetic moment comes out at 4.4 μB per formula unit. The calculation puts the total DFT energy (no corrections) at -3.6335 eV/atom.


Record 10
VASP calculation (PBE) on a relaxed SrCr2Hg2 crystal.

The structure in CIF format:
```
data_SrCr2Hg2
_chemical_formula_sum 'Sr2 Cr4 Hg4'
_cell_length_a 3.298
_cell_length_b 3.298
_cell_length_c 19.367
_cell_angle_alpha 90.00
_cell_angle_beta 90.00
_cell_angle_gamma 90.00
_symmetry_space_group_name_H-M 'I 4/m m m'
_symmetry_Int_Tables_number 139
_symmetry_space_group_name_Hall '-I 4 2'
loop_
_atom_site_label
_atom_site_fract_x
_atom_site_fract_y
_atom_site_fract_z
Sr1 0.000 0.000 0.000
Cr1 0.000 0.500 0.250
Hg1 0.000 0.000 0.374
```

Output
For the energy relative to the elements, the calculation gives 0.367 eV/atom. The magnetic moment comes out at 0.0 μB per formula unit. The calculation puts the total DFT energy (no corrections) at -3.9397 eV/atom.